# Ac3Tb2Nd3

Ac3Tb2Nd3 after structural relaxation (PBE-GGA, Alexandria).

a b c (Å): 6.1904 6.2036 7.8574
angles (deg): 90.00 90.00 90.00
Closest atoms and distances in Å follow each position.
Space group Pmmm (No. 47)
Symmetry-distinct sites (fractional):
Ac (0.0000, 0.0000, 0.0000)  4 Nd 3.70, 4 Tb 3.71, 2 Ac 3.93
Ac (0.0000, 0.0000, 0.5000)  4 Nd 3.63, 4 Tb 3.64, 2 Ac 3.93
Ac (0.5000, 0.5000, 0.0000)  4 Tb 3.70, 6 Nd 3.71-3.93
Tb (0.0000, 0.5000, 0.2583)  2 Nd 3.63, 6 Ac 3.64-3.71, 2 Tb 3.80-4.06
Nd (0.5000, 0.0000, 0.2590)  6 Ac 3.63-3.71, 3 Nd 3.63-3.79
Nd (0.5000, 0.5000, 0.5000)  4 Tb 3.63, 4 Nd 3.63, 2 Ac 3.93

Results
ΔE_f in kJ per mole of atoms: 10.7
Electronic total energy in eV/atom: -4.376